1.
The following is a GGA-PBE calculation of a relaxed structure of CrOs2Pb, from Alexandria.

Values from the calculation:
Energy of formation from the pure elements in eV/atom: 0.654
Final energy in eV per atom: -8.294
DOS(E_F) in states/eV/f.u.: 3.97

a b c (Å): 4.748 4.748 5.072
angles (deg): 79.19 79.19 36.02
Last column: magnetic moment on the atom in μB.
Positions (direct):
Cr1 0.250 0.250 0.250  1.92
Os1 0.981 0.981 0.047  -0.11
Os2 0.519 0.519 0.453  -0.11
Pb1 0.750 0.750 0.750  -0.01

***

2.
The following is a GGA-PBE calculation of a relaxed structure of Cr3OsPb, from Alexandria.

Values from the calculation:
Energy of formation from the pure elements in eV/atom: 1.115
Final energy in eV per atom: -7.647
DOS(E_F) in states/eV/f.u.: 4.44

a b c (Å): 4.762 4.762 4.762
angles (deg): 90.00 90.00 90.00
Last column: magnetic moment on the atom in μB.
Positions (direct):
Cr1 0.000 0.500 0.000  3.06
Cr2 0.500 0.000 0.000  3.49
Cr3 0.000 0.000 0.500  2.77
Pb1 0.500 0.500 0.500  -0.10
Os1 0.000 0.000 0.000  -0.62

***

3.
The following is a GGA-PBE calculation of a relaxed structure of CrOs2Pb, from Alexandria.

Values from the calculation:
Energy of formation from the pure elements in eV/atom: 0.797
Final energy in eV per atom: -8.151
DOS(E_F) in states/eV/f.u.: 5.29

a b c (Å): 4.942 4.942 4.942
angles (deg): 132.44 132.43 69.55
Last column: magnetic moment on the atom in μB.
Positions (direct):
Os1 0.750 0.250 0.500  -0.10
Os2 0.000 0.000 0.000  -0.16
Pb1 0.500 0.500 0.000  -0.02
Cr1 0.250 0.750 0.500  2.55